This record from Alexandria via LeMat-Bulk describes crystalline MnTcSb2C at its relaxed geometry. The functional is PBE-GGA.

Its density of states at the Fermi level is 0.718 states/eV per atom. Its raw total energy is -5.666 eV per atom. Its volume is 25.27 A^3/atom. The total magnetization is 0.5674 μB per atom. For the formation energy (no corrections), the calculation gives 1.74 eV per atom.

Cell lengths 5.026, 5.026, 5.002 Å; angles 90.00, 90.00, 90.00 degrees
Space group P4/mmm (No. 123)
Inequivalent atoms, fractional coordinates:
Mn 0.000 0.000 0.000
Tc 0.000 0.000 0.500
Sb 0.000 0.500 0.500
C 0.500 0.500 0.000



This record from Alexandria via LeMat-Bulk describes crystalline CaCd3Hg at its relaxed geometry. The functional is PBE-GGA.

For the formation energy, the calculation gives 0.415 eV per atom. Its density of states at the Fermi level is 1.121 states/eV per atom. Its raw total energy is -0.594 eV per atom. Its volume is 49.43 A^3/atom. The total magnetization is 0.0000 μB per atom. The energy above the most stable polymorph in this dataset comes out at 3.23 eV per formula unit.

Cell lengths 6.276, 6.276, 6.276 Å; angles 90.00, 90.00, 90.00 degrees
Space group Pm-3m (No. 221)
Inequivalent atoms, fractional coordinates:
Ca 0.000 0.000 0.000
Cd 0.000 0.000 0.500
Hg 0.500 0.500 0.500



This record from Alexandria via LeMat-Bulk describes crystalline Li4Mg3Ag at its relaxed geometry. The functional is PBE-GGA.

For the formation energy, the calculation gives -0.096 eV per atom. Its density of states at the Fermi level is 0.389 states/eV per atom. Its raw total energy is -2.008 eV per atom. Its volume is 19.37 A^3/atom. The total magnetization is 0.0000 μB per atom. The energy above the most stable polymorph in this dataset comes out at 0.02 eV per formula unit.

Cell lengths 19.522, 3.379, 4.788 Å; angles 90.00, 101.10, 90.00 degrees
Space group C2/m (No. 12)
Inequivalent atoms, fractional coordinates:
Li 0.127 0.000 0.115
Li 0.249 0.500 0.249
Mg 0.000 0.500 0.000
Mg 0.121 0.500 0.610
Ag 0.000 0.000 0.500



This record from Alexandria via LeMat-Bulk describes crystalline PmTmIr2 at its relaxed geometry. The functional is PBE-GGA.

For the formation energy, the calculation gives -0.731 eV per atom. Its density of states at the Fermi level is 0.604 states/eV per atom. Its raw total energy is -7.467 eV per atom. Its volume is 20.60 A^3/atom. The total magnetization is 0.0000 μB per atom. The energy above the most stable polymorph in this dataset comes out at 0.04 eV per formula unit.

Cell lengths 6.908, 6.908, 6.908 Å; angles 90.00, 90.00, 90.00 degrees
Space group Fm-3m (No. 225)
Inequivalent atoms, fractional coordinates:
Pm 0.000 0.000 0.000
Tm 0.000 0.000 0.500
Ir 0.250 0.250 0.250